A relaxed NaMg2Pb8 crystal, computed with PBE.

```
11
Lattice="8.8151 -2.4085 0.0000 8.8151 2.4085 0.0000 -2.5943 0.0000 7.5938" Properties=species:S:1:pos:R:3 pbc="T T T"
Na 0.0000 0.0000 0.0000
Mg 3.8702 0.0000 2.7529
Mg 11.1657 0.0000 4.8410
Pb 0.5932 0.0000 3.4857
Pb 0.8614 0.0000 6.9136
Pb 4.1693 0.0000 6.0443
Pb 7.3318 0.0000 2.1135
Pb 7.7041 0.0000 5.4803
Pb 10.8666 0.0000 1.5495
Pb 14.1745 0.0000 0.6802
Pb 14.4427 0.0000 4.1082
```

Energy above the most stable polymorph in this dataset (kJ/mol of atoms): 0.0
Space group: C2/m
ΔE_f (kJ/mol of formula units): -50

A relaxed Dy6HoTmSc2 crystal, computed with PBE.

```
20
Lattice="4.4502 -7.3506 0.0000 4.4502 7.3506 0.0000 -1.2216 0.0000 9.2655" Properties=species:S:1:pos:R:3 pbc="T T T"
Dy 2.3712 4.0044 1.6795
Dy 3.2182 4.6978 5.1314
Dy 3.8499 4.6978 8.7668
Dy 3.0922 1.5139 3.5362
Dy 5.9185 4.0044 2.9533
Dy 5.1974 1.5139 1.0965
Dy 2.4815 -1.5139 8.1690
Dy 1.7604 -4.0044 6.3122
Dy 4.5866 -1.5139 5.7293
Dy 3.8290 -4.6978 0.4987
Dy 4.4607 -4.6978 4.1340
Dy 5.3077 -4.0044 7.5860
Ho 3.5340 1.3713 6.9491
Ho 4.1448 -1.3713 2.3164
Tm 4.1448 6.9666 2.3164
Tm 3.5340 -6.9666 6.9491
Sc 2.1518 0.7752 0.4289
Sc 1.5410 -0.7752 5.0616
Sc 6.1378 0.7752 4.2038
Sc 5.5270 -0.7752 8.8366
```

Space group: C2/c
ΔE_f (kJ/mol of formula units): 121

A relaxed Sc4AsBr crystal, computed with PBE.

```
6
Lattice="0.0000 4.1429 4.1429 4.1429 0.0000 4.1429 4.1429 4.1429 0.0000" Properties=species:S:1:pos:R:3 pbc="T T T"
Sc 1.0243 1.0243 1.0243
Sc 3.1187 3.1187 1.0243
Sc 3.1187 1.0243 3.1187
Sc 1.0243 3.1187 3.1187
As 6.2144 6.2144 6.2144
Br 4.1429 4.1429 4.1429
```

Formation energy (no corrections) (eV per atom): 0.10
Space group: F-43m

A relaxed SrLiGa2Co crystal, computed with PBE.

```
5
Lattice="4.6069 0.0000 0.0000 0.0000 4.6069 0.0000 0.0000 0.0000 4.8222" Properties=species:S:1:pos:R:3 pbc="T T T"
Sr 0.0000 0.0000 0.0000
Li 2.3035 2.3035 0.0000
Ga 0.0000 2.3035 2.4111
Ga 2.3035 0.0000 2.4111
Co 2.3035 2.3035 2.4111
```

Space group: P4/mmm
ΔE_f (kJ/mol of formula units): -128